# 1
{"formula": "ScGa2BSe", "functional": "PBE", "state": "optimized geometry", "cell": [[5.391, 0.000, 0.000], [0.000, 4.348, 0.000], [0.000, 0.000, 5.391]], "species": ["Sc", "B", "Ga", "Ga", "Se"], "frac_coords": [[0.000, 0.000, 0.000], [0.000, 0.500, 0.000], [0.000, 0.000, 0.500], [0.500, 0.000, 0.000], [0.500, 0.500, 0.500]], "raw_formation_energy_ev_per_atom": 0.994, "dft_energy_ev_per_cell": -17.6}

# 2
{"formula": "Zn2HgI8", "functional": "PBE", "state": "optimized geometry", "cell": [[6.671, -0.816, -0.249], [-0.244, 8.816, 0.683], [-1.139, -0.946, 8.721]], "species": ["Zn", "Zn", "Hg", "I", "I", "I", "I", "I", "I", "I", "I"], "frac_coords": [[0.454, 0.231, 0.231], [0.546, 0.769, 0.769], [0.000, 0.000, 0.000], [0.716, 0.046, 0.720], [0.284, 0.280, 0.954], [0.848, 0.255, 0.255], [0.152, 0.745, 0.745], [0.716, 0.720, 0.046], [0.284, 0.954, 0.280], [0.304, 0.425, 0.425], [0.696, 0.575, 0.575]], "raw_formation_energy_ev_per_atom": -0.323, "dft_energy_ev_per_cell": -18.8}

# 3
{"formula": "SiINF2", "functional": "PBE", "state": "optimized geometry", "cell": [[4.742, 0.000, 0.000], [0.000, 4.742, 0.000], [0.000, 0.000, 4.101]], "species": ["I", "Si", "N", "F", "F"], "frac_coords": [[0.000, 0.000, 0.000], [0.500, 0.500, 0.500], [0.000, 0.000, 0.500], [0.000, 0.500, 0.000], [0.500, 0.000, 0.000]], "raw_formation_energy_ev_per_atom": 0.627, "dft_energy_ev_per_cell": -15.9}

# 4
{"formula": "SmErZr2", "functional": "PBE", "state": "optimized geometry", "cell": [[3.280, 0.000, 0.000], [1.640, 2.840, 0.000], [1.640, 0.947, 11.663]], "species": ["Zr", "Zr", "Sm", "Er"], "frac_coords": [[0.090, 0.090, 0.729], [0.910, 0.910, 0.271], [0.000, 0.000, 0.000], [0.500, 0.500, 0.500]], "formation_enthalpy_0k_mev_per_atom": 280, "dft_energy_ev_per_cell": -25.3}